(1)
Entry from Alexandria: a relaxed La2MgSn4Rh3 crystal (PBE).

Cell: 4.5218 4.5218 11.2800 Å, 90.00 90.00 90.00°
Closest atoms and distances in Å follow each position.
Fractional positions:
La (0.0000, 0.5000, 0.2394)  6 Rh 3.44-3.71, 8 Sn 3.46-3.52, 2 Mg 3.71
La (0.5000, 0.0000, 0.7606)  6 Rh 3.44-3.71, 8 Sn 3.46-3.52, 2 Mg 3.71
Mg (0.0000, 0.0000, 0.5000)  4 Sn 2.78
Sn (0.0000, 0.0000, 0.0000)  4 Rh 2.67
Sn (0.0000, 0.5000, 0.6428)  3 Rh 2.61-2.78, 2 Mg 2.78
Sn (0.5000, 0.0000, 0.3572)  3 Rh 2.61-2.78, 2 Mg 2.78
Sn (0.5000, 0.5000, 0.0000)  4 Rh 2.67
Rh (0.0000, 0.5000, 0.8740)  5 Sn 2.61-2.67
Rh (0.5000, 0.0000, 0.1260)  5 Sn 2.61-2.67
Rh (0.5000, 0.5000, 0.5000)  4 Sn 2.78

Computed properties:
Space group: P-4m2 (115)
N(E_F) (states/eV per cell): 6.3

***

(2)
Entry from Alexandria: a relaxed BeSi2C2 crystal (PBE).

Cell: 5.9338 5.9338 3.0317 Å, 90.00 90.00 90.00°
Closest atoms and distances in Å follow each position.
Fractional positions:
Be (0.0000, 0.0000, 0.0000)  4 C 2.10
Be (0.5000, 0.5000, 0.0000)  4 C 2.10
Si (0.1373, 0.3627, 0.5000)  2 C 1.81
Si (0.3627, 0.8627, 0.5000)  2 C 1.81
Si (0.6373, 0.1373, 0.5000)  2 C 1.81
Si (0.8627, 0.6373, 0.5000)  2 C 1.81
C (0.2451, 0.7451, 0.0000)  2 Si 1.81
C (0.2549, 0.2451, 0.0000)  2 Si 1.81
C (0.7451, 0.7549, 0.0000)  2 Si 1.81
C (0.7549, 0.2549, 0.0000)  2 Si 1.81

Computed properties:
Raw formation energy (eV per atom): 0.926
Space group: P4/mbm (127)
Excess energy over the best structure of this formula in the dataset (meV/atom): 199
N(E_F) (states/eV per cell): 4.6

***

(3)
Entry from Alexandria: a relaxed Y2Hg2Pb crystal (PBE).

Cell: 5.0126 5.0126 12.1366 Å, 90.00 90.00 90.00°
Closest atoms and distances in Å follow each position.
Fractional positions:
Y (0.0000, 0.5000, 0.2500)  4 Hg 3.02
Y (0.0000, 0.5000, 0.7500)  4 Hg 3.02
Y (0.5000, 0.0000, 0.2500)  4 Hg 3.02
Y (0.5000, 0.0000, 0.7500)  4 Hg 3.02
Hg (0.0000, 0.0000, 0.1110)  1 Hg 2.69
Hg (0.0000, 0.0000, 0.8890)  1 Hg 2.69
Hg (0.5000, 0.5000, 0.3890)  1 Hg 2.69
Hg (0.5000, 0.5000, 0.6110)  1 Hg 2.69
Pb (0.0000, 0.0000, 0.5000)  8 Hg 3.79, 8 Y 3.94
Pb (0.5000, 0.5000, 0.0000)  8 Hg 3.79, 8 Y 3.94

Computed properties:
Space group: I4/mmm (139)
Excess energy over the best structure of this formula in the dataset (meV/atom): 309
N(E_F) (states/eV per cell): 9.0

***

(4)
Entry from Alexandria: a relaxed RbY2AgS4 crystal (PBE).

Cell: 7.1849 7.1849 14.2642 Å, 90.00 90.00 147.01°
Closest atoms and distances in Å follow each position.
Fractional positions:
Rb (0.1153, 0.8847, 0.7500)  6 S 3.18-3.42
Rb (0.8847, 0.1153, 0.2500)  6 S 3.18-3.42
Y (0.3681, 0.6319, 0.5643)  6 S 2.75-2.88
Y (0.3681, 0.6319, 0.9357)  6 S 2.75-2.88
Y (0.6319, 0.3681, 0.0643)  6 S 2.75-2.88
Y (0.6319, 0.3681, 0.4357)  6 S 2.75-2.88
Ag (0.1653, 0.8347, 0.2500)  4 S 2.49-2.51
Ag (0.8347, 0.1653, 0.7500)  4 S 2.49-2.51
S (0.0000, 0.0000, 0.0000)  4 Y 2.88
S (0.0000, 0.0000, 0.5000)  4 Y 2.88
S (0.2605, 0.7395, 0.0996)  1 Ag 2.51, 3 Y 2.75-2.77
S (0.2605, 0.7395, 0.4004)  1 Ag 2.51, 3 Y 2.75-2.77
S (0.4386, 0.5614, 0.7500)  2 Ag 2.49
S (0.5614, 0.4386, 0.2500)  2 Ag 2.49
S (0.7395, 0.2605, 0.5996)  1 Ag 2.51, 3 Y 2.75-2.77
S (0.7395, 0.2605, 0.9004)  1 Ag 2.51, 3 Y 2.75-2.77

Computed properties:
Raw formation energy (eV per atom): -1.577
Space group: Cmcm (63)

***

(5)
Entry from Alexandria: a relaxed Hg2HClO2 crystal (PBE).

Cell: 5.6574 5.6574 7.4819 Å, 90.00 90.00 78.74°
Closest atoms and distances in Å follow each position.
Fractional positions:
Hg (0.0864, 0.3979, 0.0000)  2 O 2.05
Hg (0.3979, 0.0864, 0.5000)  2 O 2.05
Hg (0.6021, 0.9136, 0.0000)  2 O 2.05
Hg (0.9136, 0.6021, 0.5000)  2 O 2.05
H (0.4133, 0.5867, 0.4908)  2 O 1.20
H (0.5867, 0.4133, 0.9908)  2 O 1.20
Cl (0.0767, 0.9233, 0.1710)  6 Hg 2.98-3.30
Cl (0.9233, 0.0767, 0.6710)  6 Hg 2.98-3.30
O (0.2743, 0.4519, 0.4911)  1 H 1.20
O (0.4519, 0.2743, 0.9911)  1 H 1.20
O (0.5481, 0.7257, 0.4911)  1 H 1.20
O (0.7257, 0.5481, 0.9911)  1 H 1.20

Computed properties:
Space group: Cmc2_1 (36)

***

(6)
Entry from Alexandria: a relaxed BeCuAs crystal (PBE).

Cell: 2.8553 2.8553 5.6620 Å, 90.00 90.00 120.00°
Closest atoms and distances in Å follow each position.
Fractional positions:
Be (0.0000, 0.0000, 0.0000)  3 Cu 2.32, 3 As 2.53
Cu (0.6667, 0.3333, 0.2874)  3 Be 2.32
As (0.3333, 0.6667, 0.6600)  3 Be 2.53, 3 Cu 2.68

Computed properties:
Space group: P3m1 (156)
N(E_F) (states/eV per cell): 1.7

***

(7)
Entry from Alexandria: a relaxed MgIn2Ag2 crystal (PBE).

Cell: 7.3968 7.3968 4.0789 Å, 90.00 90.00 90.00°
Closest atoms and distances in Å follow each position.
Fractional positions:
Mg (0.0000, 0.0000, 0.0000)  4 Ag 2.87
Mg (0.5000, 0.5000, 0.0000)  4 Ag 2.87
In (0.1660, 0.3340, 0.5000)  6 Ag 2.90-3.04
In (0.3340, 0.8340, 0.5000)  6 Ag 2.90-3.04
In (0.6660, 0.1660, 0.5000)  6 Ag 2.90-3.04
In (0.8340, 0.6660, 0.5000)  6 Ag 2.90-3.04
Ag (0.1373, 0.6373, 0.0000)  2 Mg 2.87, 1 Ag 2.87, 6 In 2.90-3.04
Ag (0.3627, 0.1373, 0.0000)  2 Mg 2.87, 1 Ag 2.87, 6 In 2.90-3.04
Ag (0.6373, 0.8627, 0.0000)  2 Mg 2.87, 1 Ag 2.87, 6 In 2.90-3.04
Ag (0.8627, 0.3627, 0.0000)  2 Mg 2.87, 1 Ag 2.87, 6 In 2.90-3.04

Computed properties:
Space group: P4/mbm (127)
Excess energy over the best structure of this formula in the dataset (meV/atom): 85
N(E_F) (states/eV per cell): 4.3

***

(8)
Entry from Alexandria: a relaxed MnP2IN crystal (PBE).

Cell: 5.1504 5.1504 4.7186 Å, 90.00 90.00 90.00°
Closest atoms and distances in Å follow each position.
Fractional positions:
Mn (0.0000, 0.0000, 0.0000)  2 I 2.36
P (0.0000, 0.5000, 0.5000)  2 I 2.58
P (0.5000, 0.0000, 0.5000)  2 I 2.58
I (0.0000, 0.0000, 0.5000)  2 Mn 2.36, 4 P 2.58
N (0.5000, 0.5000, 0.0000)  8 P 3.49, 4 Mn 3.64

Computed properties:
Raw formation energy (eV per atom): 2.984
Space group: P4/mmm (123)
N(E_F) (states/eV per cell): 9.3

***

(9)
Entry from Alexandria: a relaxed CuBrCl2 crystal (PBE).

Cell: 3.3934 3.3934 33.9541 Å, 90.00 90.00 120.00°
Closest atoms and distances in Å follow each position.
Fractional positions:
Cu (0.0000, 0.0000, 0.0000)  6 Cl 2.41
Cu (0.3333, 0.6667, 0.6667)  6 Cl 2.41
Cu (0.6667, 0.3333, 0.3333)  6 Cl 2.41
Br (0.0000, 0.0000, 0.5000)  6 Br 3.39
Br (0.3333, 0.6667, 0.1667)  6 Br 3.39
Br (0.6667, 0.3333, 0.8333)  6 Br 3.39
Cl (0.0000, 0.0000, 0.2921)  3 Cu 2.41
Cl (0.0000, 0.0000, 0.7079)  3 Cu 2.41
Cl (0.3333, 0.6667, 0.3746)  3 Cu 2.41
Cl (0.3333, 0.6667, 0.9587)  3 Cu 2.41
Cl (0.6667, 0.3333, 0.0413)  3 Cu 2.41
Cl (0.6667, 0.3333, 0.6254)  3 Cu 2.41

Computed properties:
Raw formation energy (eV per atom): -0.143
Space group: R-3m (166)
Excess energy over the best structure of this formula in the dataset (meV/atom): 109
N(E_F) (states/eV per cell): 17.2

***

(10)
Entry from Alexandria: a relaxed Hg3H2Au2 crystal (PBE).

Cell: 4.4388 5.3851 6.2040 Å, 64.99 80.72 80.29°
Closest atoms and distances in Å follow each position.
Fractional positions:
Hg (0.0000, 0.0000, 0.0000)  2 H 2.70, 4 Au 2.83-2.99
Hg (0.1997, 0.5725, 0.6369)  1 H 2.08
Hg (0.8003, 0.4275, 0.3631)  1 H 2.08
H (0.3024, 0.9481, 0.3642)  1 Au 1.69
H (0.6976, 0.0519, 0.6358)  1 Au 1.69
Au (0.3929, 0.2524, 0.1436)  1 H 1.69
Au (0.6071, 0.7476, 0.8564)  1 H 1.69

Computed properties:
Space group: P-1 (2)
N(E_F) (states/eV per cell): 1.3

***

(11)
Entry from Alexandria: a relaxed Dy3GeB2Pt9 crystal (PBE).

Cell: 5.7366 5.7366 9.1941 Å, 90.00 90.00 120.00°
Closest atoms and distances in Å follow each position.
Fractional positions:
Dy (0.0000, 0.0000, 0.0000)  12 Pt 2.87-3.13
Dy (0.3333, 0.6667, 0.6034)  9 Pt 3.03-3.33
Dy (0.6667, 0.3333, 0.3966)  9 Pt 3.03-3.33
Ge (0.0000, 0.0000, 0.5000)  6 Pt 2.53
B (0.3333, 0.6667, 0.1493)  6 Pt 2.11-2.15
B (0.6667, 0.3333, 0.8507)  6 Pt 2.11-2.15
Pt (0.0000, 0.5000, 0.0000)  2 B 2.15
Pt (0.1655, 0.3311, 0.2902)  1 B 2.11
Pt (0.1655, 0.8345, 0.2902)  1 B 2.11
Pt (0.3311, 0.1655, 0.7098)  1 B 2.11
Pt (0.5000, 0.0000, 0.0000)  2 B 2.15
Pt (0.5000, 0.5000, 0.0000)  2 B 2.15
Pt (0.6689, 0.8345, 0.2902)  1 B 2.11
Pt (0.8345, 0.1655, 0.7098)  1 B 2.11
Pt (0.8345, 0.6689, 0.7098)  1 B 2.11

Computed properties:
Space group: P-3m1 (164)
N(E_F) (states/eV per cell): 5.2

***

(12)
Entry from Alexandria: a relaxed NdGe2S4 crystal (PBE).

Cell: 7.5011 7.5011 6.5062 Å, 90.00 90.00 90.00°
Closest atoms and distances in Å follow each position.
Fractional positions:
Nd (0.0000, 0.0000, 0.0000)  4 S 2.80
Nd (0.5000, 0.5000, 0.5000)  4 S 2.80
Ge (0.0000, 0.5000, 0.2500)  4 S 2.50
Ge (0.0000, 0.5000, 0.7500)  4 S 2.50
Ge (0.5000, 0.0000, 0.2500)  4 S 2.50
Ge (0.5000, 0.0000, 0.7500)  4 S 2.50
S (0.1751, 0.3161, 0.5000)  2 Ge 2.50, 1 Nd 2.80
S (0.1839, 0.6751, 0.0000)  2 Ge 2.50, 1 Nd 2.80
S (0.3161, 0.8249, 0.5000)  2 Ge 2.50, 1 Nd 2.80
S (0.3249, 0.1839, 0.0000)  2 Ge 2.50, 1 Nd 2.80
S (0.6751, 0.8161, 0.0000)  2 Ge 2.50, 1 Nd 2.80
S (0.6839, 0.1751, 0.5000)  2 Ge 2.50, 1 Nd 2.80
S (0.8161, 0.3249, 0.0000)  2 Ge 2.50, 1 Nd 2.80
S (0.8249, 0.6839, 0.5000)  2 Ge 2.50, 1 Nd 2.80

Computed properties:
Raw formation energy (eV per atom): -0.524
Space group: I4/m (87)
N(E_F) (states/eV per cell): 6.9

***

no.,magnetization (Bohr magnetons per cell),DFT total energy (eV/cell),calculated density (Mg/m³)
1,0.00,-56.41,7.82
2,0.00,-56.78,2.78
3,1.18,-35.64,8.56
4,0.00,-91.75,4.14
5,0.00,-37.72,6.64
6,0.00,-11.58,6.13
7,0.00,-25.61,6.99
8,0.26,-14.94,3.42
9,4.27,-30.11,3.15
10,0.00,-12.78,12.57
11,0.00,-98.82,14.81
12,0.00,-68.36,3.79